Below is a relaxed structure of ErAlSi, with properties calculated at the GGA-PBEsol level.

POSCAR file:
```
ErAlSi
1.0
-3.0247 -2.5608 0.0896
1.9820 0.9006 4.9516
-3.5895 4.2630 0.6614
Si Al Er
2 2 2
Cartesian
-2.3151 -0.2912 1.2173
-2.3172 2.8940 4.4853
-1.7948 2.1315 0.3307
0.0000 0.0000 0.0000
-0.6112 0.8343 3.2097
-4.0210 1.7685 2.4930
```

## Properties
Total moment   0.00 μB/cell
Calculated density   6.59 g/cm³
Symmetry   Cmcm



Below is a relaxed structure of MnS3F, with properties calculated at the GGA-PBEsol level.

POSCAR file:
```
MnS3F
1.0
4.3455 0.0000 0.0000
0.0000 4.3455 0.0000
0.0000 0.0000 4.3455
S Mn F
3 1 1
Cartesian
0.0000 2.1728 0.0000
0.0000 0.0000 2.1728
2.1728 0.0000 0.0000
2.1728 2.1728 2.1728
0.0000 0.0000 0.0000
```

## Properties
Total moment   4.88 μB/cell
Calculated density   3.44 g/cm³
Symmetry   Pm-3m



Below is a relaxed structure of NiMoC3, with properties calculated at the GGA-PBEsol level.

POSCAR file:
```
NiMoC3
1.0
3.9799 0.0000 0.0000
0.0000 3.9799 0.0000
0.0000 0.0000 3.9799
Ni Mo C
1 1 3
Cartesian
1.9899 1.9899 1.9899
0.0000 0.0000 0.0000
0.0000 1.9899 0.0000
0.0000 0.0000 1.9899
1.9899 0.0000 0.0000
```

## Properties
Total moment   0.71 μB/cell
Calculated density   5.02 g/cm³
Energy of formation from the pure elements   2.26 eV per atom
Symmetry   Pm-3m



Below is a relaxed structure of LiMg2Hg, with properties calculated at the GGA-PBEsol level.

POSCAR file:
```
LiMg2Hg
1.0
3.5157 0.0000 0.0000
0.0000 3.5184 0.0000
0.0000 0.0000 6.3224
Mg Hg Li
2 1 1
Cartesian
0.0000 0.0000 6.2144
1.7578 1.7592 1.7098
0.0000 0.0000 3.2634
1.7578 1.7592 4.6183
```

## Properties
Total moment   0.00 μB/cell
Calculated density   5.44 g/cm³
Energy of formation from the pure elements   -0.23 eV per atom
Symmetry   P4mm



Below is a relaxed structure of Ru2WSe, with properties calculated at the GGA-PBEsol level.

POSCAR file:
```
Ru2WSe
1.0
3.8639 0.0000 0.0000
0.0000 3.8639 0.0000
-1.9319 -1.9319 3.8492
Ru Se W
2 1 1
Cartesian
1.9319 0.0000 1.9246
0.0000 1.9319 1.9246
1.9319 1.9319 0.0000
0.0000 0.0000 0.0000
```

## Properties
Total moment   0.00 μB/cell
Calculated density   13.43 g/cm³
Symmetry   I4/mmm



Below is a relaxed structure of CoP2H, with properties calculated at the GGA-PBEsol level.

POSCAR file:
```
CoP2H
1.0
-2.4698 -1.1830 -2.6145
0.5879 -3.2688 -1.8177
-2.2200 -2.9846 0.7061
P Co H
2 1 1
Cartesian
-1.0255 -1.8591 -0.9315
-3.0764 -5.5773 -2.7945
-2.0509 -3.7182 -1.8630
0.0000 0.0000 0.0000
```

## Properties
Total moment   0.00 μB/cell
Calculated density   5.27 g/cm³
Symmetry   Fm-3m



Below is a relaxed structure of TbFe10Si2, with properties calculated at the GGA-PBEsol level.

POSCAR file:
```
TbFe10Si2
1.0
-1.0168 0.7583 4.4577
4.9804 -0.7829 3.6785
0.8815 5.9689 1.5950
Tb Fe Si
1 10 2
Cartesian
0.0000 0.0000 0.0000
1.4737 2.3614 4.7531
3.3714 3.5829 4.9782
3.5237 1.6166 2.9381
2.3382 3.5694 2.3355
1.2478 4.9072 4.2685
3.5973 1.0371 5.4627
1.9818 -0.0123 4.0681
2.4902 -0.3915 1.8393
-0.0676 3.3636 3.0263
0.4408 2.9845 0.7975
3.7301 4.5202 7.3098
1.1150 1.4241 2.4214
```

## Properties
Total moment   18.59 μB/cell
Calculated density   8.25 g/cm³
Symmetry   Immm



Below is a relaxed structure of TaCo2Br, with properties calculated at the GGA-PBEsol level.

POSCAR file:
```
TaCo2Br
1.0
2.8906 0.0000 0.0000
0.0000 4.4112 0.0000
0.0000 0.0000 4.4112
Co Br Ta
2 1 1
Cartesian
0.0000 0.0000 2.2056
0.0000 2.2056 0.0000
1.4453 0.0000 0.0000
1.4453 2.2056 2.2056
```

## Properties
Total moment   0.00 μB/cell
Calculated density   11.18 g/cm³
Symmetry   P4/mmm
Relative energy among the computed polymorphs   0.3687 eV per atom



For the records above, the corresponding raw total energy values read -16.758, -21.403, -35.563, -6.889, -36.283, -22.007, -109.517, -27.170 eV/f.u..